An optimized crystal structure of BaV2CrO8. Source: the Alexandria database, functional GGA+U.

a b c (Å): 5.5508 5.5508 7.2184
angles (deg): 90.00 90.00 120.00
With the nearest neighbours (Å) after each atom.
Space group P-3 (No. 147)
Symmetry-distinct sites (fractional):
Ba1 0.0000 0.0000 0.0000 (multiplicity 1)  12 O 2.87-3.21
V1 0.3333 0.6667 0.7347 (multiplicity 2)  4 O 1.68-1.75
Cr1 0.0000 0.0000 0.5000 (multiplicity 1)  6 O 1.93
O1 0.1545 0.3179 0.6632 (multiplicity 6)  1 V 1.75, 1 Cr 1.93
O2 0.3333 0.6667 0.9680 (multiplicity 2)  1 V 1.68

Calculated density in g/cm3: 3.614
DFT total energy in eV per atom: -7.363